[1]
Compound: ZnAsN3
Source: Alexandria
Functional: PBE
Structure: optimized geometry

```
ZnAsN3
1.0
3.8822 0.0000 0.0000
0.0000 3.8822 0.0000
0.0000 0.0000 3.8822
Zn As N
1 1 3
Direct
0.0000 0.0000 0.0000 Zn
0.5000 0.5000 0.5000 As
0.0000 0.0000 0.5000 N
0.0000 0.5000 0.0000 N
0.5000 0.0000 0.0000 N
```

Fermi-level density of states: 0.535 states/eV/atom
Formation energy without anion corrections: 1009 kJ/mol of formula units

---

[2]
Compound: Li5Tl2Cd
Source: Alexandria
Functional: PBE
Structure: optimized geometry

```
Li5Tl2Cd
1.0
-2.4230 2.4230 6.6086
2.4230 -2.4230 6.6086
2.4230 2.4230 -6.6086
Li Tl Cd
5 2 1
Direct
0.0000 0.0000 0.0000 Li
0.1228 0.6228 0.5000 Li
0.3772 0.8772 0.5000 Li
0.6228 0.1228 0.5000 Li
0.8772 0.3772 0.5000 Li
0.2476 0.2476 0.0000 Tl
0.7524 0.7524 0.0000 Tl
0.5000 0.5000 0.0000 Cd
```

Fermi-level density of states: 0.293 states/eV/atom
Energy of formation from the pure elements: -0.217 eV per atom
Offset from the most stable computed form: 0.4 kJ per mole of atoms

---

Repeat the first record exactly.
Compound: ZnAsN3
Source: Alexandria
Functional: PBE
Structure: optimized geometry

```
ZnAsN3
1.0
3.8822 0.0000 0.0000
0.0000 3.8822 0.0000
0.0000 0.0000 3.8822
Zn As N
1 1 3
Direct
0.0000 0.0000 0.0000 Zn
0.5000 0.5000 0.5000 As
0.0000 0.0000 0.5000 N
0.0000 0.5000 0.0000 N
0.5000 0.0000 0.0000 N
```

Fermi-level density of states: 0.535 states/eV/atom
Formation energy without anion corrections: 1009 kJ/mol of formula units